Record 1
A plane-wave DFT calculation with GGA-PBEsol was carried out for a relaxed RhS2F crystal.

Summary:
**Formation energy without anion corrections**: -147 kJ/mol of formula units
**SG**: Fm-3m (225)

abc: 4.0832 4.0832 4.0832
angles: 60.00 60.00 60.00
Last column: nearest neighbours and their distance in Å.
Fractional coordinates of all 4 atoms:
S1 0.2500 0.2500 0.2500  4 Rh 2.50, 4 F 2.50
S2 0.7500 0.7500 0.7500  4 Rh 2.50, 4 F 2.50
F1 0.0000 0.0000 0.0000  8 S 2.50
Rh1 0.5000 0.5000 0.5000  8 S 2.50

Record 2
A plane-wave DFT calculation with GGA-PBEsol was carried out for a relaxed RhSe2SF crystal.

Summary:
**Formation energy without anion corrections**: 129 kJ/mol of formula units
**SG**: P4/mmm (123)

abc: 3.6348 4.7860 4.7860
angles: 90.00 90.00 90.00
Last column: nearest neighbours and their distance in Å.
Fractional coordinates of all 5 atoms:
Rh1 0.5000 0.5000 0.5000  8 Se 3.00
Se1 0.0000 0.0000 0.5000  2 S 2.39
Se2 0.0000 0.5000 0.0000  2 S 2.39
S1 0.0000 0.0000 0.0000  2 F 1.82
F1 0.5000 0.0000 0.0000  2 S 1.82

Record 3
A plane-wave DFT calculation with GGA-PBEsol was carried out for a relaxed Sr2SbRhF crystal.

Summary:
**Formation energy without anion corrections**: -521 kJ/mol of formula units
**SG**: P4/mmm (123)

abc: 4.4858 5.0005 5.0005
angles: 90.00 90.00 90.00
Last column: nearest neighbours and their distance in Å.
Fractional coordinates of all 5 atoms:
Rh1 0.5000 0.0000 0.0000  2 F 2.24
Sb1 0.5000 0.5000 0.5000  8 Sr 3.36, 4 Rh 3.54
Sr1 0.0000 0.0000 0.5000  2 F 2.50
Sr2 0.0000 0.5000 0.0000  2 F 2.50
F1 0.0000 0.0000 0.0000  2 Rh 2.24, 4 Sr 2.50

Record 4
A plane-wave DFT calculation with GGA-PBEsol was carried out for a relaxed Sb2TeRhF crystal.

Summary:
**Formation energy without anion corrections**: 111 kJ/mol of formula units
**SG**: P4/mmm (123)

abc: 4.5848 4.5848 5.0703
angles: 90.00 90.00 90.00
Last column: nearest neighbours and their distance in Å.
Fractional coordinates of all 5 atoms:
Sb1 0.0000 0.5000 0.0000  2 F 2.29
Rh1 0.5000 0.5000 0.5000  4 Te 3.24, 8 Sb 3.42
F1 0.0000 0.0000 0.0000  4 Sb 2.29, 2 Te 2.54
Te1 0.0000 0.0000 0.5000  2 F 2.54
Sb2 0.5000 0.0000 0.0000  2 F 2.29

no.,DOS at the Fermi energy (states/eV/atom)
1,0.2718
2,0.6177
3,0.3971
4,0.5830